Record 1
PBE ScCu2Tc, relaxed; VASP energy = -6.173 eV per atom; space group = I-4m2 (119); density of states at the Fermi level = 2.1 states/eV/f.u.; E_form = 0.05 eV/atom; ΔE to the lowest computed polymorph = 80 meV per atom
1.0
-1.904 1.904 4.070
1.904 -1.904 4.070
1.904 1.904 -4.070
Sc Cu Tc
1 2 1
Direct
0.000 0.000 0.000
0.500 0.500 0.000
0.750 0.250 0.500
0.250 0.750 0.500

---

Record 2
PBE HfReHg2, relaxed; VASP energy = -5.202 eV per atom; space group = Fm-3m (225); density of states at the Fermi level = 3.2 states/eV/f.u.; E_form = 0.55 eV/atom; ΔE to the lowest computed polymorph = 0 meV per atom
1.0
0.000 3.358 3.358
3.358 0.000 3.358
3.358 3.358 0.000
Hf Re Hg
1 1 2
Direct
0.000 0.000 0.000
0.500 0.500 0.500
0.250 0.250 0.250
0.750 0.750 0.750

---

Record 3
PBE Sc2TlB, relaxed; VASP energy = -5.491 eV per atom; space group = R-3m (166); density of states at the Fermi level = 0.8 states/eV/f.u.; E_form = -0.06 eV/atom; ΔE to the lowest computed polymorph = 0 meV per atom
1.0
1.780 1.028 8.702
-1.780 1.028 8.702
0.000 -2.055 8.702
Sc Tl B
2 1 1
Direct
0.121 0.121 0.121
0.879 0.879 0.879
0.000 0.000 0.000
0.500 0.500 0.500

---

Record 4
PBE Li2TlSe, relaxed; formation energy without anion corrections = -14.1 kcal/mol of atoms; VASP energy = -3.030 eV per atom; space group = Pmmm (47); density of states at the Fermi level = 1.0 states/eV/f.u.
1.0
3.967 0.000 0.000
0.000 4.524 0.000
0.000 0.000 4.538
Li Tl Se
2 1 1
Direct
0.000 0.000 0.000
0.000 0.500 0.500
0.500 0.000 0.500
0.500 0.500 0.000

---

Record 5
PBE RbNa9Sr2, relaxed; VASP energy = -1.328 eV per atom; space group = R-3m (166); density of states at the Fermi level = 7.7 states/eV/f.u.; E_form = 0.02 eV/atom
1.0
3.610 2.084 11.743
-3.610 2.084 11.743
0.000 -4.169 11.743
Rb Na Sr
1 9 2
Direct
0.000 0.000 0.000
0.081 0.589 0.589
0.334 0.334 0.334
0.411 0.411 0.919
0.411 0.919 0.411
0.500 0.500 0.500
0.589 0.081 0.589
0.589 0.589 0.081
0.666 0.666 0.666
0.919 0.411 0.411
0.145 0.145 0.145
0.855 0.855 0.855

---

Record 6
PBE Cs2Np2AlS6, relaxed; formation energy without anion corrections = -28.7 kcal/mol of atoms; VASP energy = -6.345 eV per atom; space group = C2/m (12); density of states at the Fermi level = 17.9 states/eV/f.u.
1.0
3.413 -5.863 0.000
3.413 5.863 0.000
-2.337 0.000 8.219
Cs Np Al S
2 2 1 6
Direct
0.169 0.831 0.000
0.831 0.169 0.000
0.333 0.667 0.500
0.667 0.333 0.500
0.000 0.000 0.500
0.059 0.369 0.671
0.245 0.245 0.333
0.369 0.059 0.671
0.631 0.941 0.329
0.755 0.755 0.667
0.941 0.631 0.329

---

Record 7
PBE CeTlI2, relaxed; formation energy without anion corrections = -18.2 kcal/mol of atoms; VASP energy = -3.640 eV per atom; space group = R-3m (166); density of states at the Fermi level = 6.7 states/eV/f.u.
1.0
2.013 1.162 11.513
-2.013 1.162 11.513
0.000 -2.324 11.513
Ce Tl I
1 1 2
Direct
0.000 0.000 0.000
0.500 0.500 0.500
0.397 0.397 0.397
0.603 0.603 0.603

---

Record 8
PBE KGa2HgRh, relaxed; VASP energy = -3.268 eV per atom; space group = P4/mmm (123); density of states at the Fermi level = 1.5 states/eV/f.u.; E_form = -0.31 eV/atom
1.0
4.836 0.000 0.000
0.000 4.836 0.000
0.000 0.000 5.393
K Ga Hg Rh
1 2 1 1
Direct
0.000 0.000 0.000
0.000 0.500 0.500
0.500 0.000 0.500
0.500 0.500 0.000
0.500 0.500 0.500

---

Record 9
PBE Ta2NbNi2, relaxed; VASP energy = -9.030 eV per atom; space group = P4/mbm (127); density of states at the Fermi level = 4.0 states/eV/f.u.; E_form = 0.04 eV/atom; ΔE to the lowest computed polymorph = 144 meV per atom
1.0
7.441 0.000 0.000
0.000 7.441 0.000
0.000 0.000 2.837
Ta Nb Ni
4 2 4
Direct
0.162 0.338 0.000
0.338 0.838 0.000
0.662 0.162 0.000
0.838 0.662 0.000
0.000 0.000 0.000
0.500 0.500 0.000
0.131 0.631 0.500
0.369 0.131 0.500
0.631 0.869 0.500
0.869 0.369 0.500

---

Record 10
PBE Rh3CO, relaxed; formation energy without anion corrections = 17.3 kcal/mol of atoms; VASP energy = -6.498 eV per atom; space group = Pm-3m (221); density of states at the Fermi level = 6.4 states/eV/f.u.; ΔE to the lowest computed polymorph = 0 meV per atom
1.0
4.026 0.000 0.000
0.000 4.026 0.000
0.000 0.000 4.026
Rh C O
3 1 1
Direct
0.000 0.000 0.500
0.000 0.500 0.000
0.500 0.000 0.000
0.000 0.000 0.000
0.500 0.500 0.500

---

Record 11
PBE Sc7Ga2Co2, relaxed; VASP energy = -6.102 eV per atom; space group = Cmmm (65); density of states at the Fermi level = 12.0 states/eV/f.u.; E_form = -0.23 eV/atom
1.0
3.576 -5.060 0.000
3.576 5.060 0.000
0.000 0.000 6.372
Sc Ga Co
7 2 2
Direct
0.000 0.000 0.000
0.000 0.500 0.252
0.000 0.500 0.748
0.500 0.000 0.252
0.500 0.000 0.748
0.500 0.500 0.243
0.500 0.500 0.757
0.175 0.175 0.500
0.825 0.825 0.500
0.291 0.709 0.000
0.709 0.291 0.000

---

Record 12
PBE Be2GeW2, relaxed; VASP energy = -7.531 eV per atom; space group = P4/mbm (127); density of states at the Fermi level = 4.7 states/eV/f.u.; E_form = 0.06 eV/atom
1.0
5.990 0.000 0.000
0.000 5.990 0.000
0.000 0.000 3.384
Be Ge W
4 2 4
Direct
0.118 0.382 0.000
0.382 0.882 0.000
0.618 0.118 0.000
0.882 0.618 0.000
0.000 0.000 0.000
0.500 0.500 0.000
0.177 0.677 0.500
0.323 0.177 0.500
0.677 0.823 0.500
0.823 0.323 0.500